SrPCl2 | PBE | relaxed

Properties
- Formation energy without anion corrections: -4.3 eV per formula unit
- Polymorph energy (0 for the lowest one): 0.000 eV per atom
- V: 30.4 Å³ per atom
- D(E_F): 1.8 states/eV/cell
- Magnetization: 0.000 μB per formula unit

abc: 12.654 3.712 5.180
angles: 90.00 90.90 90.00
Space group C2/m (No. 12)
Unique sites:
Sr: 0.000 0.000 0.000 [2 per cell]
P: 0.000 0.500 0.500 [2 per cell]
Cl: 0.155 0.500 0.231 [4 per cell]

---

CaBiH | PBE | relaxed

Properties
- Polymorph energy (0 for the lowest one): 0.086 eV per atom
- V: 23.6 Å³ per atom
- D(E_F): 2.1 states/eV/cell
- Magnetization: 0.000 μB per formula unit

abc: 3.638 3.643 12.423
angles: 96.67 91.36 119.72
Space group P-1 (No. 2)
Unique sites:
Ca: 0.119 0.259 0.369 [2 per cell]
Bi: 0.371 0.798 0.151 [2 per cell]
H: 0.190 0.367 0.562 [2 per cell]

---

Hf2ZrCo2 | PBE | relaxed

Properties
- Polymorph energy (0 for the lowest one): 0.033 eV per atom
- V: 17.4 Å³ per atom
- D(E_F): 21.9 states/eV/cell
- Magnetization: 0.000 μB per formula unit
- Calculated formation energy: -0.236 eV per atom

abc: 9.520 5.107 7.405
angles: 90.00 104.82 90.00
Space group C2/c (No. 15)
Unique sites:
Hf: 0.153 0.153 0.154 [8 per cell]
Zr: 0.000 0.337 0.750 [4 per cell]
Co: 0.138 0.353 0.500 [8 per cell]

---

LaP2RuRh | PBE | relaxed

Properties
- V: 17.9 Å³ per atom
- D(E_F): 3.9 states/eV/cell
- Magnetization: 0.000 μB per formula unit
- Calculated formation energy: -1.078 eV per atom

abc: 3.978 3.978 11.331
angles: 90.00 90.00 90.00
Space group I-4m2 (No. 119)
Unique sites:
La: 0.000 0.000 0.000 [2 per cell]
P: 0.000 0.000 0.360 [4 per cell]
Ru: 0.000 0.500 0.750 [2 per cell]
Rh: 0.000 0.500 0.250 [2 per cell]

---

Mn2BeP | PBE | relaxed

Properties
- Polymorph energy (0 for the lowest one): 0.044 eV per atom
- V: 9.8 Å³ per atom
- D(E_F): 6.2 states/eV/cell
- Magnetization: 2.140 μB per formula unit
- Calculated formation energy: -0.282 eV per atom

abc: 3.819 3.819 5.387
angles: 90.00 90.00 90.00
Space group I4/mmm (No. 139)
Unique sites:
Mn: 0.000 0.500 0.250 [4 per cell]
Be: 0.000 0.000 0.000 [2 per cell]
P: 0.000 0.000 0.500 [2 per cell]

---

Cs2Sn2H5 | PBE | relaxed

Properties
- V: 21.2 Å³ per atom
- D(E_F): 2.3 states/eV/cell
- Magnetization: 0.000 μB per formula unit
- Final energy: -2.90 eV per atom

abc: 15.184 3.499 7.205
angles: 90.00 95.90 90.00
Space group C2/m (No. 12)
Unique sites:
Cs: 0.141 0.000 0.234 [4 per cell]
Sn: 0.083 0.500 0.734 [4 per cell]
H: 0.000 0.500 0.000 [2 per cell]
H: 0.171 0.500 0.567 [4 per cell]
H: 0.176 0.500 0.916 [4 per cell]

---

Pm3Nd4YTe8 | PBE | relaxed

Properties
- Formation energy without anion corrections: -22.4 eV per formula unit
- V: 31.6 Å³ per atom
- D(E_F): 37.3 states/eV/cell
- Magnetization: 0.000 μB per formula unit

abc: 8.9353 8.9353 21.9585
angles: 90.00 90.00 120.00
Space group R-3m (No. 166, hexagonal axes)
Unique sites:
Pm: 0.0000 0.5000 0.0000 [9 per cell]
Nd: 0.0000 0.0000 0.5000 [3 per cell]
Nd: 0.0000 0.5000 0.5000 [9 per cell]
Y: 0.0000 0.0000 0.0000 [3 per cell]
Te: 0.0000 0.0000 0.2509 [6 per cell]
Te: 0.0041 0.5021 0.7481 [18 per cell]

---

Rb5NaCd4 | PBE | relaxed

Properties
- V: 52.9 Å³ per atom
- D(E_F): 10.4 states/eV/cell
- Magnetization: 0.000 μB per formula unit
- Calculated formation energy: -0.037 eV per atom

abc: 23.247 5.142 9.653
angles: 90.00 113.43 90.00
Space group C2/m (No. 12)
Unique sites:
Rb: 0.000 0.000 0.000 [2 per cell]
Rb: 0.141 0.500 0.510 [4 per cell]
Rb: 0.199 0.500 0.108 [4 per cell]
Na: 0.000 0.000 0.500 [2 per cell]
Cd: 0.047 0.500 0.743 [4 per cell]
Cd: 0.120 0.000 0.803 [4 per cell]

---

AcPrTm2 | PBE | relaxed

Properties
- Polymorph energy (0 for the lowest one): 0.002 eV per atom
- V: 34.9 Å³ per atom
- D(E_F): 5.6 states/eV/cell
- Magnetization: 0.000 μB per formula unit
- Calculated formation energy: 0.051 eV per atom

abc: 3.787 3.787 9.736
angles: 90.00 90.00 90.00
Space group P4/mmm (No. 123)
Unique sites:
Ac: 0.000 0.000 0.000 [1 per cell]
Pr: 0.000 0.000 0.500 [1 per cell]
Tm: 0.500 0.500 0.259 [2 per cell]

---

Ta3Cr | PBE | relaxed

Properties
- V: 16.7 Å³ per atom
- D(E_F): 41.4 states/eV/cell
- Magnetization: 0.000 μB per formula unit
- Calculated formation energy: 0.084 eV per atom

abc: 9.210 8.981 6.459
angles: 90.00 90.46 90.00
Space group Cm (No. 8)
Unique sites:
Ta: 0.000 0.000 0.000 [2 per cell]
Ta: 0.001 0.000 0.492 [2 per cell]
Ta: 0.245 0.500 0.739 [2 per cell]
Ta: 0.248 0.243 0.000 [4 per cell]
Ta: 0.249 0.241 0.492 [4 per cell]
Ta: 0.495 0.000 0.001 [2 per cell]
Ta: 0.498 0.243 0.741 [4 per cell]
Ta: 0.499 0.242 0.253 [4 per cell]
Cr: 0.248 0.000 0.745 [2 per cell]
Cr: 0.249 0.000 0.250 [2 per cell]
Cr: 0.249 0.500 0.247 [2 per cell]
Cr: 0.497 0.000 0.494 [2 per cell]

---

AcLa2Al2Ag2 | PBE | relaxed

Properties
- V: 27.2 Å³ per atom
- D(E_F): 16.6 states/eV/cell
- Magnetization: 0.000 μB per formula unit
- Calculated formation energy: -0.305 eV per atom

abc: 4.7686 4.7686 28.9830
angles: 90.00 90.00 120.00
Space group R-3m (No. 166, hexagonal axes)
Unique sites:
Ac: 0.0000 0.0000 0.0000 [3 per cell]
La: 0.0000 0.0000 0.1321 [6 per cell]
Al: 0.0000 0.0000 0.2561 [6 per cell]
Ag: 0.0000 0.0000 0.4063 [6 per cell]

---

ScSi2Rh | PBE | relaxed

Properties
- Formation energy without anion corrections: -2.3 eV per formula unit
- V: 16.0 Å³ per atom
- D(E_F): 5.8 states/eV/cell
- Magnetization: 0.000 μB per formula unit

abc: 4.955 8.524 3.022
angles: 90.00 90.00 90.00
Space group Cmmm (No. 65)
Unique sites:
Sc: 0.000 0.000 0.000 [2 per cell]
Si: 0.250 0.250 0.500 [4 per cell]
Rh: 0.000 0.500 0.500 [2 per cell]

---

Al2InBiTe | PBE | relaxed

Properties
- Formation energy without anion corrections: 3.2 eV per formula unit
- V: 33.5 Å³ per atom
- D(E_F): 3.8 states/eV/cell
- Magnetization: 0.000 μB per formula unit

abc: 5.402 5.402 5.747
angles: 90.00 90.00 90.00
Space group P4/mmm (No. 123)
Unique sites:
Al: 0.000 0.500 0.000 [2 per cell]
In: 0.000 0.000 0.500 [1 per cell]
Bi: 0.500 0.500 0.500 [1 per cell]
Te: 0.000 0.000 0.000 [1 per cell]

---

Li3Tb2Au4 | PBE | relaxed

Properties
- V: 19.4 Å³ per atom
- D(E_F): 20.8 states/eV/cell
- Magnetization: 0.000 μB per formula unit
- Calculated formation energy: -0.621 eV per atom

abc: 5.799 15.314 7.848
angles: 90.00 90.00 90.00
Space group Cmce (No. 64)
Unique sites:
Li: 0.000 0.000 0.000 [4 per cell]
Li: 0.250 0.215 0.250 [8 per cell]
Tb: 0.000 0.114 0.587 [8 per cell]
Au: 0.000 0.185 0.958 [8 per cell]
Au: 0.250 0.046 0.250 [8 per cell]

---

CeHf2Sc4 | PBE | relaxed

Properties
- V: 24.1 Å³ per atom
- D(E_F): 38.3 states/eV/cell
- Magnetization: 0.002 μB per formula unit
- Calculated formation energy: 0.020 eV per atom

abc: 3.2687 3.2687 54.7200
angles: 90.00 90.00 120.00
Space group R-3m (No. 166, hexagonal axes)
Unique sites:
Ce: 0.0000 0.0000 0.0000 [3 per cell]
Hf: 0.0000 0.0000 0.0962 [6 per cell]
Sc: 0.0000 0.0000 0.1915 [6 per cell]
Sc: 0.0000 0.0000 0.2829 [6 per cell]

---

Sm2ErSn | PBE | relaxed

Properties
- Polymorph energy (0 for the lowest one): 0.000 eV per atom
- V: 28.6 Å³ per atom
- D(E_F): 4.4 states/eV/cell
- Magnetization: 0.001 μB per formula unit
- Calculated formation energy: -0.426 eV per atom

abc: 4.831 4.831 4.905
angles: 90.00 90.00 90.00
Space group P4/mmm (No. 123)
Unique sites:
Sm: 0.000 0.500 0.000 [2 per cell]
Er: 0.000 0.000 0.500 [1 per cell]
Sn: 0.500 0.500 0.500 [1 per cell]

---

AcCeNi2 | PBE | relaxed

Properties
- Polymorph energy (0 for the lowest one): 0.000 eV per atom
- V: 22.3 Å³ per atom
- D(E_F): 5.2 states/eV/cell
- Magnetization: 0.000 μB per formula unit
- Calculated formation energy: -0.201 eV per atom

abc: 3.556 3.556 7.067
angles: 90.00 90.00 90.00
Space group P4/mmm (No. 123)
Unique sites:
Ac: 0.000 0.000 0.000 [1 per cell]
Ce: 0.000 0.000 0.500 [1 per cell]
Ni: 0.500 0.500 0.306 [2 per cell]

---

Na2LiInP2 | PBE | relaxed

Properties
- V: 21.6 Å³ per atom
- Magnetization: 0.000 μB per formula unit
- Calculated formation energy: -0.445 eV per atom

abc: 5.865 13.907 6.342
angles: 90.00 90.00 90.00
Space group Ibam (No. 72)
Unique sites:
Na: 0.236 0.181 0.000 [8 per cell]
Li: 0.000 0.000 0.250 [4 per cell]
In: 0.000 0.500 0.250 [4 per cell]
P: 0.247 0.391 0.000 [8 per cell]

---

CrCo2Os | PBE | relaxed

Properties
- Polymorph energy (0 for the lowest one): 0.000 eV per atom
- V: 11.7 Å³ per atom
- D(E_F): 4.0 states/eV/cell
- Magnetization: 0.002 μB per formula unit
- Calculated formation energy: 0.012 eV per atom

abc: 2.565 4.082 4.456
angles: 90.00 90.00 90.00
Space group Pmm2 (No. 25)
Unique sites:
Cr: 0.000 0.000 0.000 [1 per cell]
Co: 0.500 0.000 0.487 [1 per cell]
Co: 0.500 0.500 0.168 [1 per cell]
Os: 0.000 0.500 0.662 [1 per cell]

---

Th6AuSe5 | PBE | relaxed

Properties
- Formation energy without anion corrections: -16.5 eV per formula unit
- V: 26.9 Å³ per atom
- D(E_F): 19.7 states/eV/cell
- Magnetization: 0.000 μB per formula unit

abc: 7.324 12.703 7.358
angles: 90.00 109.34 90.00
Space group C2/m (No. 12)
Unique sites:
Th: 0.248 0.000 0.250 [4 per cell]
Th: 0.249 0.167 0.750 [8 per cell]
Au: 0.000 0.500 0.000 [2 per cell]
Se: 0.000 0.000 0.500 [2 per cell]
Se: 0.000 0.167 0.000 [4 per cell]
Se: 0.000 0.335 0.500 [4 per cell]